InO4 after structural relaxation, computed with PBE-GGA.

Lattice parameters (Å, degrees): 4.259 4.259 4.259 90.00 90.00 90.00
Element x y z (fractional)
1 O 0.000 0.000 0.000
2 O 0.500 0.000 0.500
3 O 0.000 0.500 0.500
4 O 0.500 0.500 0.000
5 In 0.500 0.500 0.500

- Formation energy without anion corrections: 0.56 eV per atom
- Symmetry: Pm-3m (221)
- VASP energy: -3.959 eV per atom